No. 1
Compound: SrDy2P
Source: the Alexandria database
Functional: PBE
Structure: optimized geometry

Geometry as CIF:
```
data_SrDy2P
_chemical_formula_sum 'Sr3 Dy6 P3'
_space_group_name_H-M_alt 'R -3 m'
_space_group_IT_number 166
_space_group_name_Hall '-R 3 2"'
_cell_length_a 3.8947
_cell_length_b 3.8947
_cell_length_c 31.1081
_cell_angle_alpha 90.00
_cell_angle_beta 90.00
_cell_angle_gamma 120.00
loop_
_atom_site_label
_atom_site_fract_x
_atom_site_fract_y
_atom_site_fract_z
Sr1 0.0000 0.0000 0.0000
Dy1 0.0000 0.0000 0.1169
P1 0.0000 0.0000 0.5000
```

Values from the calculation:
Calculated formation energy in kJ per mole of atoms: -56.9
M_tot in μB/f.u.: 0.00



No. 2
Compound: SrDyP2
Source: the Alexandria database
Functional: PBE
Structure: optimized geometry

Geometry as CIF:
```
data_SrDyP2
_chemical_formula_sum 'Sr3 Dy3 P6'
_space_group_name_H-M_alt 'R -3 m'
_space_group_IT_number 166
_space_group_name_Hall '-R 3 2"'
_cell_length_a 4.1326
_cell_length_b 4.1326
_cell_length_c 21.0436
_cell_angle_alpha 90.00
_cell_angle_beta 90.00
_cell_angle_gamma 120.00
loop_
_atom_site_label
_atom_site_fract_x
_atom_site_fract_y
_atom_site_fract_z
Sr1 0.0000 0.0000 0.0000
Dy1 0.0000 0.0000 0.5000
P1 0.0000 0.0000 0.2404
```

Values from the calculation:
Calculated formation energy in kJ per mole of atoms: -111.4
M_tot in μB/f.u.: 0.00



No. 3
Compound: SrDyP
Source: the Alexandria database
Functional: PBE
Structure: optimized geometry

Geometry as CIF:
```
data_SrDyP
_chemical_formula_sum 'Sr4 Dy4 P4'
_space_group_name_H-M_alt 'A m m 2'
_space_group_IT_number 38
_cell_length_a 14.026
_cell_length_b 4.059
_cell_length_c 7.037
_cell_angle_alpha 90.00
_cell_angle_beta 90.00
_cell_angle_gamma 90.00
loop_
_space_group_symop_operation_xyz
'x,y,z'
'-x,-y,z'
'-x,y,z'
'x,-y,z'
'x,y+1/2,z+1/2'
'-x,-y+1/2,z+1/2'
'-x,y+1/2,z+1/2'
'x,-y+1/2,z+1/2'
loop_
_atom_site_label
_atom_site_fract_x
_atom_site_fract_y
_atom_site_fract_z
Sr1 0.126 0.000 0.000
Dy1 0.383 0.000 0.329
P1 0.000 0.000 0.333
P2 0.500 0.000 0.996
```

Values from the calculation:
Calculated formation energy in kJ per mole of atoms: -60.1
M_tot in μB/f.u.: 0.74



No. 4
Compound: Sr2DyThP4
Source: the Alexandria database
Functional: PBE
Structure: optimized geometry

Geometry as CIF:
```
data_Sr2DyThP4
_chemical_formula_sum 'Sr2 Dy1 Th1 P4'
_space_group_name_H-M_alt 'P 1 2/m 1'
_space_group_IT_number 10
_cell_length_a 7.260
_cell_length_b 4.221
_cell_length_c 7.425
_cell_angle_alpha 90.00
_cell_angle_beta 109.18
_cell_angle_gamma 90.00
loop_
_space_group_symop_operation_xyz
'x,y,z'
'-x,-y,-z'
'-x,y,-z'
'x,-y,z'
loop_
_atom_site_label
_atom_site_fract_x
_atom_site_fract_y
_atom_site_fract_z
Sr1 0.000 0.000 0.000
Sr2 0.500 0.500 0.000
Dy1 0.000 0.500 0.500
Th1 0.500 0.000 0.500
P1 0.238 0.000 0.723
P2 0.256 0.500 0.276
```

Values from the calculation:
Calculated formation energy in kJ per mole of atoms: -122.5
M_tot in μB/f.u.: 0.00



No. 5
Compound: Sr2DyUP4
Source: the Alexandria database
Functional: PBE
Structure: optimized geometry

Geometry as CIF:
```
data_Sr2DyUP4
_chemical_formula_sum 'Sr2 Dy1 U1 P4'
_space_group_name_H-M_alt 'P 1 2/m 1'
_space_group_IT_number 10
_cell_length_a 7.116
_cell_length_b 4.152
_cell_length_c 7.324
_cell_angle_alpha 90.00
_cell_angle_beta 108.88
_cell_angle_gamma 90.00
loop_
_space_group_symop_operation_xyz
'x,y,z'
'-x,-y,-z'
'-x,y,-z'
'x,-y,z'
loop_
_atom_site_label
_atom_site_fract_x
_atom_site_fract_y
_atom_site_fract_z
Sr1 0.000 0.000 0.000
Sr2 0.500 0.500 0.000
Dy1 0.000 0.500 0.500
U1 0.500 0.000 0.500
P1 0.252 0.000 0.715
P2 0.272 0.500 0.288
```

Values from the calculation:
Calculated formation energy in kJ per mole of atoms: -114.4
M_tot in μB/f.u.: 1.00



No. 6
Compound: DyTaP
Source: the Alexandria database
Functional: PBE
Structure: optimized geometry

Geometry as CIF:
```
data_DyTaP
_chemical_formula_sum 'Dy2 Ta2 P2'
_space_group_name_H-M_alt 'P 4/n m m'
_space_group_IT_number 129
_cell_length_a 3.910
_cell_length_b 3.910
_cell_length_c 7.602
_cell_angle_alpha 90.00
_cell_angle_beta 90.00
_cell_angle_gamma 90.00
loop_
_space_group_symop_operation_xyz
'x,y,z'
'-x,-y,-z'
'-y+1/2,x,z'
'y+1/2,-x,-z'
'-x+1/2,-y+1/2,z'
'x+1/2,y+1/2,-z'
'y,-x+1/2,z'
'-y,x+1/2,-z'
'x+1/2,-y,-z'
'-x+1/2,y,z'
'-y,-x,-z'
'y,x,z'
'-x,y+1/2,-z'
'x,-y+1/2,z'
'y+1/2,x+1/2,-z'
'-y+1/2,-x+1/2,z'
loop_
_atom_site_label
_atom_site_fract_x
_atom_site_fract_y
_atom_site_fract_z
Dy1 0.250 0.250 0.142
Ta1 0.250 0.750 0.500
P1 0.250 0.250 0.743
```

Values from the calculation:
Calculated formation energy in kJ per mole of atoms: -87.4
M_tot in μB/f.u.: 0.00



Question: Number 5 is which compound?
Answer: Sr2DyUP4



Question: Which of these has the lowest calculated formation energy?
Answer: Sr2DyThP4



Question: The highest M_tot belongs to which entry?
Answer: Sr2DyUP4



Question: Which of these has the highest calculated formation energy?
Answer: SrDy2P